# 1
Here is a relaxed HfCuRu crystal from Alexandria. Energies are from PBE-GGA.

abc: 4.598 5.222 5.222
angles: 94.19 63.88 63.88
Fractional coordinates of all 6 atoms:
Ru  0.728  0.772  0.772
Hf  0.000  0.800  0.200
Ru  0.272  0.228  0.228
Hf  0.000  0.200  0.800
Cu  0.500  0.352  0.648
Cu  0.500  0.648  0.352

raw total energy	-47.645	eV per cell
symmetry	Immm (71)
calculated density	11.95	Mg/m³
DFT formation energy	-0.166	eV per atom

***

# 2
Here is a relaxed Rb4Br3Cl crystal from Alexandria. Energies are from PBE-GGA.

abc: 4.884 8.507 8.507
angles: 109.26 90.00 90.00
Fractional coordinates of all 8 atoms:
Rb  0.500  0.755  0.245
Rb  0.000  0.241  0.241
Br  0.500  0.500  0.500
Br  0.000  0.500  0.000
Rb  0.500  0.245  0.755
Br  0.000  0.000  0.500
Rb  0.000  0.759  0.759
Cl  0.500  0.000  0.000

raw total energy	-25.091	eV per cell
symmetry	Cmmm (65)
calculated density	3.07	Mg/m³

***

# 3
Here is a relaxed CaSi2Se2 crystal from Alexandria. Energies are from PBE-GGA.

abc: 3.582 3.582 8.588
angles: 77.96 77.96 90.00
Fractional coordinates of all 5 atoms:
Ca  0.000  0.000  0.000
Si  0.250  0.750  0.500
Si  0.750  0.250  0.500
Se  0.395  0.395  0.210
Se  0.605  0.605  0.790

energy above the most stable polymorph in this dataset	0.0000	eV/atom
raw total energy	-21.946	eV per cell
symmetry	I4/mmm (139)
calculated density	4.01	Mg/m³

***

# 4
Here is a relaxed PmLuW4 crystal from Alexandria. Energies are from PBE-GGA.

abc: 5.549 5.549 5.549
angles: 60.00 60.00 60.00
Fractional coordinates of all 6 atoms:
W  0.625  0.125  0.625
W  0.125  0.625  0.625
W  0.625  0.625  0.125
Pm  0.000  0.000  0.000
W  0.625  0.625  0.625
Lu  0.250  0.250  0.250

raw total energy	-59.933	eV per cell
symmetry	F-43m (216)
calculated density	14.51	Mg/m³
DFT formation energy	0.192	eV per atom